(1)
# LiY4Zr PBE relaxed
data_LiY4Zr
_symmetry_space_group_name_H-M 'F -4 3 m'
_symmetry_Int_Tables_number 216
_symmetry_space_group_name_Hall 'F -4 2 3'
_cell_length_a 9.066
_cell_length_b 9.066
_cell_length_c 9.066
_cell_angle_alpha 90.00
_cell_angle_beta 90.00
_cell_angle_gamma 90.00
loop_
_atom_site_label
_atom_site_type_symbol
_atom_site_fract_x
_atom_site_fract_y
_atom_site_fract_z
Li1 Li 0.000 0.000 0.000
Y1 Y 0.124 0.124 0.624
Zr1 Zr 0.250 0.250 0.250
# Theoretical density (Mg/m³): 4.05
# E (eV for the cell shown): -132.351
# Fermi-level density of states (states/eV per cell): 39.930
# ΔE_f (kJ per mole of atoms): 52.0

(2)
# LaErGe3 PBE relaxed
data_LaErGe3
_symmetry_space_group_name_H-M 'C m c m'
_symmetry_Int_Tables_number 63
_symmetry_space_group_name_Hall '-C 2c 2'
_cell_length_a 4.320
_cell_length_b 27.028
_cell_length_c 4.024
_cell_angle_alpha 90.00
_cell_angle_beta 90.00
_cell_angle_gamma 90.00
loop_
_atom_site_label
_atom_site_type_symbol
_atom_site_fract_x
_atom_site_fract_y
_atom_site_fract_z
La1 La 0.000 0.074 0.250
Er1 Er 0.000 0.204 0.750
Ge1 Ge 0.000 0.311 0.750
Ge2 Ge 0.000 0.374 0.250
Ge3 Ge 0.000 0.472 0.250
# Theoretical density (Mg/m³): 7.41
# E (eV for the cell shown): -108.052
# Fermi-level density of states (states/eV per cell): 11.760
# ΔE_f (kJ per mole of atoms): -70.8

(3)
# CuSn2Pd5 PBE relaxed
data_CuSn2Pd5
_symmetry_space_group_name_H-M 'P b a m'
_symmetry_Int_Tables_number 55
_cell_length_a 5.681
_cell_length_b 11.298
_cell_length_c 4.045
_cell_angle_alpha 90.00
_cell_angle_beta 90.00
_cell_angle_gamma 90.00
loop_
_symmetry_equiv_pos_as_xyz
'x,y,z'
'-x,-y,-z'
'-x,-y,z'
'x,y,-z'
'x+1/2,-y+1/2,-z'
'-x+1/2,y+1/2,z'
'-x+1/2,y+1/2,-z'
'x+1/2,-y+1/2,z'
loop_
_atom_site_label
_atom_site_type_symbol
_atom_site_fract_x
_atom_site_fract_y
_atom_site_fract_z
Cu1 Cu 0.000 0.000 0.000
Sn1 Sn 0.223 0.369 0.500
Pd1 Pd 0.000 0.500 0.000
Pd2 Pd 0.028 0.756 0.000
Pd3 Pd 0.222 0.114 0.500
# Distance to the lowest polymorph of the same formula (eV per atom): 0.000
# Theoretical density (Mg/m³): 10.65
# E (eV for the cell shown): -83.311
# Fermi-level density of states (states/eV per cell): 4.979
# ΔE_f (kJ per mole of atoms): -43.3

(4)
# K6SnBi4 PBE relaxed
data_K6SnBi4
_symmetry_space_group_name_H-M 'P 63 m c'
_symmetry_Int_Tables_number 186
_symmetry_space_group_name_Hall 'P 6c -2c'
_cell_length_a 11.9690
_cell_length_b 11.9690
_cell_length_c 7.7194
_cell_angle_alpha 90.00
_cell_angle_beta 90.00
_cell_angle_gamma 120.00
loop_
_atom_site_label
_atom_site_type_symbol
_atom_site_fract_x
_atom_site_fract_y
_atom_site_fract_z
K1 K 0.0184 0.5092 0.0000
K2 K 0.1524 0.3048 0.2591
Sn1 Sn 0.3333 0.6667 0.6510
Bi1 Bi 0.1945 0.3889 0.7453
Bi2 Bi 0.3333 0.6667 0.2631
# Theoretical density (Mg/m³): 4.12
# E (eV for the cell shown): -58.667
# Fermi-level density of states (states/eV per cell): 24.996
# ΔE_f (kJ per mole of atoms): -28.3

(5)
# CuBr PBE relaxed
data_CuBr
_symmetry_space_group_name_H-M 'F d d d'
_symmetry_Int_Tables_number 70
_cell_length_a 7.866
_cell_length_b 7.995
_cell_length_c 11.784
_cell_angle_alpha 90.00
_cell_angle_beta 90.00
_cell_angle_gamma 90.00
loop_
_symmetry_equiv_pos_as_xyz
'x,y,z'
'-x,-y,-z'
'-x+1/4,-y+1/4,z'
'x+1/4,y+1/4,-z'
'x,-y+1/4,-z+1/4'
'-x,y+1/4,z+1/4'
'-x+1/4,y,-z+1/4'
'x+1/4,-y,z+1/4'
'x,y+1/2,z+1/2'
'-x,-y+1/2,-z+1/2'
'-x+1/4,-y+3/4,z+1/2'
'x+1/4,y+3/4,-z+1/2'
'x,-y+3/4,-z+3/4'
'-x,y+3/4,z+3/4'
'-x+1/4,y+1/2,-z+3/4'
'x+1/4,-y+1/2,z+3/4'
'x+1/2,y,z+1/2'
'-x+1/2,-y,-z+1/2'
'-x+3/4,-y+1/4,z+1/2'
'x+3/4,y+1/4,-z+1/2'
'x+1/2,-y+1/4,-z+3/4'
'-x+1/2,y+1/4,z+3/4'
'-x+3/4,y,-z+3/4'
'x+3/4,-y,z+3/4'
'x+1/2,y+1/2,z'
'-x+1/2,-y+1/2,-z'
'-x+3/4,-y+3/4,z'
'x+3/4,y+3/4,-z'
'x+1/2,-y+3/4,-z+1/4'
'-x+1/2,y+3/4,z+1/4'
'-x+3/4,y+1/2,-z+1/4'
'x+3/4,-y+1/2,z+1/4'
loop_
_atom_site_label
_atom_site_type_symbol
_atom_site_fract_x
_atom_site_fract_y
_atom_site_fract_z
Cu1 Cu 0.125 0.125 0.015
Br1 Br 0.125 0.361 0.625
# Theoretical density (Mg/m³): 5.14
# E (eV for the cell shown): -98.542
# Formation energy from raw total energies (eV/atom): -0.195

(6)
# Fe3AsH PBE relaxed
data_Fe3AsH
_symmetry_space_group_name_H-M 'P m -3 m'
_symmetry_Int_Tables_number 221
_symmetry_space_group_name_Hall '-P 4 2 3'
_cell_length_a 4.570
_cell_length_b 4.570
_cell_length_c 4.570
_cell_angle_alpha 90.00
_cell_angle_beta 90.00
_cell_angle_gamma 90.00
loop_
_atom_site_label
_atom_site_type_symbol
_atom_site_fract_x
_atom_site_fract_y
_atom_site_fract_z
Fe1 Fe 0.000 0.000 0.500
As1 As 0.000 0.000 0.000
H1 H 0.500 0.500 0.500
# Distance to the lowest polymorph of the same formula (eV per atom): 1.236
# Theoretical density (Mg/m³): 4.24
# E (eV for the cell shown): -26.876
# Fermi-level density of states (states/eV per cell): 4.174

(7)
# Sr3YHg PBE relaxed
data_Sr3YHg
_symmetry_space_group_name_H-M 'P m -3 m'
_symmetry_Int_Tables_number 221
_symmetry_space_group_name_Hall '-P 4 2 3'
_cell_length_a 6.693
_cell_length_b 6.693
_cell_length_c 6.693
_cell_angle_alpha 90.00
_cell_angle_beta 90.00
_cell_angle_gamma 90.00
loop_
_atom_site_label
_atom_site_type_symbol
_atom_site_fract_x
_atom_site_fract_y
_atom_site_fract_z
Sr1 Sr 0.000 0.000 0.500
Y1 Y 0.000 0.000 0.000
Hg1 Hg 0.500 0.500 0.500
# Distance to the lowest polymorph of the same formula (eV per atom): 0.533
# Theoretical density (Mg/m³): 3.06
# E (eV for the cell shown): -8.418
# Fermi-level density of states (states/eV per cell): 3.767
# ΔE_f (kJ per mole of atoms): 65.5

(8)
# SrPuHg4 PBE relaxed
data_SrPuHg4
_symmetry_space_group_name_H-M 'P m m m'
_symmetry_Int_Tables_number 47
_cell_length_a 3.488
_cell_length_b 5.108
_cell_length_c 8.882
_cell_angle_alpha 90.00
_cell_angle_beta 90.00
_cell_angle_gamma 90.00
loop_
_symmetry_equiv_pos_as_xyz
'x,y,z'
'-x,-y,-z'
'-x,-y,z'
'x,y,-z'
'x,-y,-z'
'-x,y,z'
'-x,y,-z'
'x,-y,z'
loop_
_atom_site_label
_atom_site_type_symbol
_atom_site_fract_x
_atom_site_fract_y
_atom_site_fract_z
Sr1 Sr 0.000 0.000 0.000
Pu1 Pu 0.000 0.500 0.500
Hg1 Hg 0.500 0.000 0.336
Hg2 Hg 0.500 0.500 0.170
# Distance to the lowest polymorph of the same formula (eV per atom): 0.000
# Theoretical density (Mg/m³): 11.90
# E (eV for the cell shown): -19.009
# Fermi-level density of states (states/eV per cell): 11.450
# ΔE_f (kJ per mole of atoms): -28.7